(1)
{
  "formula": "Tb5Tl2Ag",
  "functional": "PBE-GGA",
  "state": "relaxed",
  "ef_ev_per_atom": -0.19,
  "lattice_angstrom": [[6.9772, -0.0001, -0.0001], [0.0000, 6.9772, 0.0003], [-3.4883, -3.4883, 4.4940]],
  "species": ["Ag", "Tb", "Tl", "Tl", "Tb", "Tb", "Tb", "Tb"],
  "fractional_positions": [[0.2209, 0.2209, 0.4418], [0.2224, 0.2224, 0.9444], [0.2223, 0.7223, 0.4446], [0.7223, 0.2223, 0.4446], [0.7226, 0.7226, 0.4452], [0.7221, 0.7221, 0.9445], [0.2224, 0.7221, 0.9445], [0.7221, 0.2224, 0.9444]]
}

***

(2)
{
  "formula": "OsRhBr",
  "functional": "PBE-GGA",
  "state": "relaxed",
  "de_polymorph_mev_per_atom": 0.0,
  "formation_energy_uncorrected_ev_per_atom": 0.78,
  "lattice_angstrom": [[2.9864, 0.0000, 0.0000], [-1.4932, 2.5863, 0.0000], [0.0000, 0.0000, 6.3490]],
  "species": ["Br", "Os", "Rh"],
  "fractional_positions": [[0.0000, 0.0000, 0.0054], [0.6667, 0.3333, 0.3436], [0.3333, 0.6667, 0.6510]]
}

***

(3)
{
  "formula": "KMg7Tl12",
  "functional": "PBE-GGA",
  "state": "relaxed",
  "ef_ev_per_atom": 0.12,
  "lattice_angstrom": [[9.5177, 0.0000, 0.0000], [-3.1726, 8.9733, 0.0000], [-3.1726, -4.4867, 7.7711]],
  "species": ["K", "Mg", "Mg", "Mg", "Tl", "Mg", "Tl", "Tl", "Mg", "Tl", "Tl", "Tl", "Mg", "Tl", "Tl", "Tl", "Mg", "Tl", "Tl", "Tl"],
  "fractional_positions": [[0.0000, 0.0000, 0.0000], [0.0000, 0.0000, 0.5000], [0.0000, 0.5000, 0.5000], [0.5000, 0.0000, 0.5000], [0.7631, 0.1086, 0.3456], [0.5000, 0.5000, 0.5000], [0.7631, 0.4175, 0.6544], [0.2369, 0.5825, 0.3456], [0.5000, 0.5000, 0.0000], [0.4175, 0.6544, 0.7631], [0.2369, 0.8914, 0.6544], [0.8914, 0.6544, 0.2369], [0.5000, 0.0000, 0.0000], [0.3456, 0.2369, 0.5825], [0.1086, 0.3456, 0.7631], [0.6544, 0.2369, 0.8914], [0.0000, 0.5000, 0.0000], [0.3456, 0.7631, 0.1086], [0.6544, 0.7631, 0.4175], [0.5825, 0.3456, 0.2369]]
}

***

(4)
{
  "formula": "La2AgI2",
  "functional": "PBE-GGA",
  "state": "relaxed",
  "de_polymorph_mev_per_atom": 0.0,
  "formation_energy_uncorrected_ev_per_atom": -0.87,
  "lattice_angstrom": [[4.2824, 0.0000, 0.9979], [2.0249, 3.7734, 0.9979], [-0.5898, -0.3529, 12.2189]],
  "species": ["Ag", "La", "I", "La", "I"],
  "fractional_positions": [[0.0000, 0.0000, 0.0000], [0.6150, 0.6150, 0.1551], [0.2223, 0.2223, 0.3331], [0.3850, 0.3850, 0.8449], [0.7777, 0.7777, 0.6669]]
}

***

(5)
{
  "formula": "Pa3Ga3PdRu2",
  "functional": "PBE-GGA",
  "state": "relaxed",
  "ef_ev_per_atom": -0.66,
  "lattice_angstrom": [[3.9253, 0.0000, 0.0000], [0.0000, 7.1429, 0.0000], [0.0000, -3.5714, 6.1859]],
  "species": ["Ru", "Ga", "Pa", "Ga", "Ga", "Pd", "Ru", "Pa", "Pa"],
  "fractional_positions": [[0.5000, 0.6667, 0.3333], [0.5000, 0.2476, 0.2476], [0.0000, 0.4211, 0.0000], [0.5000, 0.7524, 0.0000], [0.5000, 0.0000, 0.7524], [0.0000, 0.0000, 0.0000], [0.5000, 0.3333, 0.6667], [0.0000, 0.5789, 0.5789], [0.0000, 0.0000, 0.4211]]
}

***

(6)
{
  "formula": "LiGdPuGa",
  "functional": "PBE-GGA",
  "state": "relaxed",
  "ef_ev_per_atom": -0.12,
  "lattice_angstrom": [[-4.5617, 1.4353, -1.8038], [-1.0130, -0.3955, -4.9940], [-3.3121, -3.5187, -1.6649]],
  "species": ["Ga", "Gd", "Li", "Pu"],
  "fractional_positions": [[0.5000, 0.5000, 0.5000], [0.7500, 0.7500, 0.7500], [0.0000, 0.0000, 0.0000], [0.2500, 0.2500, 0.2500]]
}

***

(7)
{
  "formula": "CoAs2Br",
  "functional": "PBE-GGA",
  "state": "relaxed",
  "de_polymorph_mev_per_atom": 871.4,
  "formation_energy_uncorrected_ev_per_atom": 0.75,
  "lattice_angstrom": [[5.4878, -0.1352, 0.0000], [-2.9669, 4.6186, 0.0000], [0.0000, 0.0000, 3.0497]],
  "species": ["As", "As", "Br", "Co"],
  "fractional_positions": [[0.5000, 0.5000, 0.0000], [0.0000, 0.0000, 0.0000], [0.5000, 0.0000, 0.5000], [0.0000, 0.5000, 0.5000]]
}

***

(8)
{
  "formula": "La3Ga4Sn2",
  "functional": "PBE-GGA",
  "state": "relaxed",
  "ef_ev_per_atom": -0.71,
  "lattice_angstrom": [[-3.3776, -2.5208, -1.4384], [5.2143, -3.5580, 0.8850], [-3.3244, -0.2871, 8.3097]],
  "species": ["La", "Ga", "La", "Ga", "La", "Ga", "Sn", "Sn", "Ga"],
  "fractional_positions": [[0.3356, 0.6713, 0.3297], [0.7033, 0.4066, 0.0234], [0.6644, 0.3287, 0.6703], [0.9817, 0.9634, 0.6358], [0.0000, 0.0000, 0.0000], [0.2967, 0.5934, 0.9766], [0.3720, 0.7440, 0.7067], [0.6280, 0.2560, 0.2933], [0.0183, 0.0366, 0.3642]]
}